# 1
## ScCuPdW2 (meta-GGA SCAN)

Data for a PBEsol-optimized structure of ScCuPdW2.

Computed properties:
Crystal system: tetragonal
Formation energy from the elements in meV/atom: 1241

a b c (Å): 4.4768 4.4768 4.5621
angles (deg): 90.00 90.00 90.00
Sites, in units of the cell vectors:
Sc: 0.0000 0.0000 0.0000
Cu: 0.5000 0.5000 0.5000
Pd: 0.5000 0.5000 0.0000
W: 0.0000 0.5000 0.5000
W: 0.5000 0.0000 0.5000

---

# 2
## CdAg2Hg (meta-GGA SCAN)

Data for a PBEsol-optimized structure of CdAg2Hg.

Computed properties:
Offset from the most stable computed form in meV per atom: 16
Crystal system: monoclinic
Formation energy from the elements in meV/atom: 5

a b c (Å): 2.9776 4.1006 6.0081
angles (deg): 90.00 92.54 90.00
Sites, in units of the cell vectors:
Cd: 0.0000 0.0000 0.0000
Ag: 0.4940 0.5000 0.7548
Ag: 0.5060 0.5000 0.2452
Hg: 0.0000 0.0000 0.5000

---

# 3
## AlSbTe2H (meta-GGA SCAN)

Data for a PBEsol-optimized structure of AlSbTe2H.

Computed properties:
Crystal system: tetragonal
Raw total energy in eV per cell: -120.505

a b c (Å): 5.2412 5.2412 3.8537
angles (deg): 90.00 90.00 90.00
Sites, in units of the cell vectors:
Al: 0.0000 0.0000 0.0000
Sb: 0.5000 0.5000 0.0000
Te: 0.0000 0.5000 0.5000
Te: 0.5000 0.0000 0.5000
H: 0.5000 0.5000 0.5000

---

# 4
## AlIrSe2 (meta-GGA SCAN)

Data for a PBEsol-optimized structure of AlIrSe2.

Computed properties:
Crystal system: orthorhombic
Energy relative to the elements, uncorrected in eV per atom: 0.5063

a b c (Å): 2.9859 2.9859 9.3140
angles (deg): 90.00 90.00 122.46
Sites, in units of the cell vectors:
Al: 0.0000 0.0000 0.0000
Ir: 0.0000 0.0000 0.5000
Se: 0.5000 0.5000 0.2745
Se: 0.5000 0.5000 0.7255

---

# 5
## Cd3Ag (meta-GGA SCAN)

Data for a PBEsol-optimized structure of Cd3Ag.

Computed properties:
Crystal system: orthorhombic
Formation energy from the elements in meV/atom: -39

a b c (Å): 5.6360 5.6360 5.6360
angles (deg): 147.98 64.43 125.72
Sites, in units of the cell vectors:
Cd: 0.0000 0.0000 0.0000
Cd: 0.4091 0.6533 0.7557
Cd: 0.8976 0.6533 0.2443
Ag: 0.4890 0.9890 0.5000

---

# 6
## CaIn3Cu (meta-GGA SCAN)

Data for a PBEsol-optimized structure of CaIn3Cu.

Computed properties:
Crystal system: cubic
Formation energy from the elements in meV/atom: -96

a b c (Å): 5.0107 5.0107 5.0107
angles (deg): 90.00 90.00 90.00
Sites, in units of the cell vectors:
Ca: 0.0000 0.0000 0.0000
In: 0.0000 0.5000 0.5000
In: 0.5000 0.0000 0.5000
In: 0.5000 0.5000 0.0000
Cu: 0.5000 0.5000 0.5000

---

# 7
## OsOF4 (meta-GGA SCAN)

Data for a PBEsol-optimized structure of OsOF4.

Computed properties:
Crystal system: monoclinic
Energy relative to the elements, uncorrected in eV per atom: -1.5747

a b c (Å): 5.6044 12.5521 5.6312
angles (deg): 90.00 116.53 90.00
Sites, in units of the cell vectors:
Os: 0.1206 0.1469 0.3322
Os: 0.1206 0.3531 0.8322
Os: 0.8794 0.6469 0.1678
Os: 0.8794 0.8531 0.6678
O: 0.2087 0.6269 0.3001
O: 0.2087 0.8731 0.8001
O: 0.7913 0.1269 0.1999
O: 0.7913 0.3731 0.6999
F: 0.0624 0.2090 0.9707
F: 0.0624 0.2910 0.4707
F: 0.2350 0.0228 0.2298
F: 0.2350 0.4772 0.7298
F: 0.2362 0.0866 0.6693
F: 0.2362 0.4134 0.1693
F: 0.4569 0.2072 0.4323
F: 0.4569 0.2928 0.9323
F: 0.5431 0.7071 0.0677
F: 0.5431 0.7929 0.5677
F: 0.7638 0.5866 0.8307
F: 0.7638 0.9134 0.3307
F: 0.7650 0.5228 0.2702
F: 0.7650 0.9772 0.7702
F: 0.9376 0.7090 0.5293
F: 0.9376 0.7910 0.0293

---

# 8
## TaRuRh2 (meta-GGA SCAN)

Data for a PBEsol-optimized structure of TaRuRh2.

Computed properties:
Offset from the most stable computed form in meV per atom: 0
Crystal system: tetragonal
Formation energy from the elements in meV/atom: -528

a b c (Å): 3.8290 3.8290 3.8762
angles (deg): 90.00 90.00 90.00
Sites, in units of the cell vectors:
Ta: 0.0000 0.0000 0.0000
Ru: 0.5000 0.5000 0.0000
Rh: 0.0000 0.5000 0.5000
Rh: 0.5000 0.0000 0.5000

---

Magnetic moment (μB/f.u.)
0.00, 0.00, 0.00, 0.00, 0.00, 0.00, 0.00, 0.00